Arrangement i

{
  "formula": "BeTl2As",
  "functional": "PBE",
  "state": "optimized geometry",
  "cell": [[3.093, -3.917, 0.000], [3.093, 3.917, 0.000], [-0.010, 0.000, 3.801]],
  "species": ["Be", "Tl", "Tl", "As"],
  "frac_coords": [[0.000, 0.000, 0.000], [0.000, 0.500, 0.500], [0.500, 0.000, 0.500], [0.500, 0.500, 0.000]]
}



Arrangement ii

{
  "formula": "BeTl2As",
  "functional": "PBE",
  "state": "optimized geometry",
  "cell": [[3.305, 0.000, 0.000], [0.000, 3.427, 0.000], [0.000, 0.000, 8.407]],
  "species": ["Be", "Tl", "Tl", "As"],
  "frac_coords": [[0.000, 0.000, 0.000], [0.000, 0.000, 0.661], [0.500, 0.500, 0.327], [0.500, 0.500, 0.967]]
}



It turns out arrangement ii is the most stable, with the second structure 396 meV per atom higher.